1.
Compound: CrHO2
Source: the Alexandria database
Functional: meta-GGA SCAN
Structure: single point on PBEsol structure

a = 9.719 Å, b = 2.970 Å, c = 4.396 Å
α = 90.00°, β = 90.00°, γ = 90.00°
Positions (direct):
Cr: 0.138 0.250 0.049
Cr: 0.362 0.750 0.549
Cr: 0.638 0.250 0.451
Cr: 0.862 0.750 0.951
H: 0.102 0.750 0.574
H: 0.398 0.250 0.074
H: 0.602 0.750 0.926
H: 0.898 0.250 0.426
O: 0.058 0.750 0.796
O: 0.191 0.750 0.315
O: 0.309 0.250 0.815
O: 0.442 0.250 0.296
O: 0.558 0.750 0.704
O: 0.691 0.750 0.185
O: 0.809 0.250 0.685
O: 0.942 0.250 0.204

## Properties
- SG = Pnma, No. 62
- DFT total energy (eV/atom) = -10.608

2.
Compound: CrHO2
Source: the Alexandria database
Functional: meta-GGA SCAN
Structure: single point on PBEsol structure

a = 2.962 Å, b = 4.268 Å, c = 4.830 Å
α = 90.00°, β = 90.00°, γ = 90.00°
Positions (direct):
Cr: 0.000 0.241 0.000
Cr: 0.500 0.759 0.500
H: 0.000 0.276 0.490
H: 0.500 0.724 0.990
O: 0.000 0.015 0.644
O: 0.000 0.486 0.356
O: 0.500 0.514 0.856
O: 0.500 0.985 0.144

## Properties
- SG = Pmn2_1, No. 31
- DFT total energy (eV/atom) = -10.606

3.
Compound: CrHO2
Source: the Alexandria database
Functional: meta-GGA SCAN
Structure: single point on PBEsol structure

a = 2.985 Å, b = 2.985 Å, c = 13.134 Å
α = 90.00°, β = 90.00°, γ = 120.00°
Positions (direct):
Cr: 0.000 0.000 0.000
Cr: 0.333 0.667 0.667
Cr: 0.667 0.333 0.333
H: 0.000 0.000 0.500
H: 0.333 0.667 0.167
H: 0.667 0.333 0.833
O: 0.000 0.000 0.408
O: 0.000 0.000 0.592
O: 0.333 0.667 0.075
O: 0.333 0.667 0.259
O: 0.667 0.333 0.741
O: 0.667 0.333 0.925

## Properties
- SG = R-3m, No. 166
- DFT total energy (eV/atom) = -10.593

4.
Compound: CrP2H15O14
Source: the Alexandria database
Functional: meta-GGA SCAN
Structure: single point on PBEsol structure

a = 6.910 Å, b = 8.673 Å, c = 10.452 Å
α = 68.61°, β = 88.65°, γ = 68.60°
Positions (direct):
Cr: 0.235 0.077 0.234
Cr: 0.765 0.923 0.766
P: 0.190 0.740 0.971
P: 0.195 0.680 0.716
P: 0.805 0.320 0.284
P: 0.810 0.260 0.029
H: 0.072 0.268 0.821
H: 0.110 0.087 0.803
H: 0.161 0.270 0.446
H: 0.180 0.281 0.598
H: 0.216 0.406 0.107
H: 0.233 0.855 0.476
H: 0.251 0.753 0.367
H: 0.264 0.586 0.250
H: 0.302 0.462 0.415
H: 0.400 0.874 0.088
H: 0.407 0.119 0.821
H: 0.413 0.265 0.060
H: 0.435 0.095 0.583
H: 0.446 0.890 0.652
H: 0.447 0.475 0.671
H: 0.553 0.525 0.329
H: 0.554 0.110 0.348
H: 0.565 0.905 0.417
H: 0.587 0.735 0.940
H: 0.593 0.881 0.179
H: 0.600 0.126 0.912
H: 0.698 0.538 0.585
H: 0.736 0.414 0.750
H: 0.749 0.247 0.633
H: 0.767 0.145 0.524
H: 0.784 0.594 0.893
H: 0.820 0.719 0.402
H: 0.839 0.730 0.554
H: 0.890 0.913 0.197
H: 0.928 0.732 0.179
O: 0.002 0.094 0.117
O: 0.044 0.249 0.311
O: 0.144 0.619 0.106
O: 0.158 0.189 0.774
O: 0.193 0.872 0.377
O: 0.247 0.289 0.510
O: 0.263 0.617 0.879
O: 0.270 0.287 0.097
O: 0.286 0.506 0.686
O: 0.288 0.814 0.634
O: 0.334 0.564 0.343
O: 0.372 0.791 0.989
O: 0.436 0.920 0.158
O: 0.467 0.033 0.360
O: 0.533 0.967 0.640
O: 0.564 0.080 0.842
O: 0.628 0.209 0.011
O: 0.666 0.436 0.657
O: 0.712 0.186 0.366
O: 0.714 0.494 0.314
O: 0.730 0.713 0.903
O: 0.737 0.383 0.121
O: 0.753 0.711 0.490
O: 0.807 0.128 0.623
O: 0.842 0.811 0.226
O: 0.856 0.381 0.894
O: 0.956 0.751 0.689
O: 0.998 0.906 0.883

## Properties
- SG = P-1, No. 2
- DFT total energy (eV/atom) = -7.064

5.
Compound: Cr2P4H3O16
Source: the Alexandria database
Functional: meta-GGA SCAN
Structure: single point on PBEsol structure

a = 4.758 Å, b = 6.973 Å, c = 7.916 Å
α = 89.69°, β = 89.47°, γ = 77.57°
Positions (direct):
Cr: 0.000 0.000 0.000
Cr: 0.500 0.498 0.498
P: 0.077 0.254 0.662
P: 0.389 0.266 0.150
P: 0.608 0.735 0.846
P: 0.924 0.742 0.336
H: 0.340 0.139 0.450
H: 0.661 0.856 0.548
H: 0.981 0.507 0.994
O: 0.103 0.175 0.842
O: 0.206 0.438 0.640
O: 0.227 0.095 0.159
O: 0.228 0.452 0.069
O: 0.235 0.086 0.546
O: 0.246 0.686 0.385
O: 0.313 0.811 0.934
O: 0.450 0.302 0.341
O: 0.551 0.695 0.657
O: 0.687 0.187 0.065
O: 0.755 0.310 0.613
O: 0.766 0.910 0.453
O: 0.768 0.546 0.929
O: 0.775 0.903 0.839
O: 0.795 0.558 0.358
O: 0.898 0.822 0.156

## Properties
- SG = P1, No. 1
- DFT total energy (eV/atom) = -9.553

6.
Compound: CrP3H2O10
Source: the Alexandria database
Functional: meta-GGA SCAN
Structure: single point on PBEsol structure

a = 7.387 Å, b = 8.696 Å, c = 12.333 Å
α = 90.00°, β = 113.08°, γ = 90.00°
Positions (direct):
Cr: 0.248 0.063 0.207
Cr: 0.248 0.437 0.707
Cr: 0.752 0.563 0.293
Cr: 0.752 0.937 0.793
P: 0.140 0.118 0.793
P: 0.140 0.382 0.293
P: 0.203 0.618 0.476
P: 0.203 0.882 0.976
P: 0.352 0.114 0.635
P: 0.352 0.386 0.135
P: 0.648 0.614 0.865
P: 0.648 0.886 0.365
P: 0.797 0.118 0.024
P: 0.797 0.382 0.524
P: 0.860 0.618 0.707
P: 0.860 0.882 0.207
H: 0.221 0.141 0.438
H: 0.221 0.359 0.938
H: 0.234 0.682 0.877
H: 0.234 0.818 0.377
H: 0.766 0.182 0.623
H: 0.766 0.318 0.123
H: 0.779 0.641 0.062
H: 0.779 0.859 0.562
O: 0.017 0.141 0.077
O: 0.017 0.359 0.577
O: 0.079 0.587 0.752
O: 0.079 0.913 0.252
O: 0.199 0.214 0.316
O: 0.199 0.286 0.816
O: 0.203 0.089 0.507
O: 0.203 0.411 0.007
O: 0.224 0.045 0.705
O: 0.224 0.455 0.205
O: 0.253 0.032 0.914
O: 0.253 0.468 0.414
O: 0.298 0.588 0.606
O: 0.298 0.912 0.106
O: 0.313 0.745 0.948
O: 0.313 0.755 0.448
O: 0.401 0.219 0.171
O: 0.401 0.281 0.671
O: 0.471 0.512 0.839
O: 0.471 0.988 0.339
O: 0.529 0.012 0.661
O: 0.529 0.488 0.161
O: 0.599 0.719 0.329
O: 0.599 0.781 0.829
O: 0.687 0.245 0.552
O: 0.687 0.255 0.052
O: 0.702 0.088 0.894
O: 0.702 0.412 0.394
O: 0.747 0.532 0.586
O: 0.747 0.968 0.086
O: 0.776 0.545 0.795
O: 0.776 0.955 0.295
O: 0.797 0.589 0.993
O: 0.797 0.911 0.493
O: 0.801 0.714 0.184
O: 0.801 0.786 0.684
O: 0.921 0.087 0.748
O: 0.921 0.413 0.248
O: 0.983 0.641 0.423
O: 0.983 0.859 0.923

## Properties
- SG = P2_1/c, No. 14
- DFT total energy (eV/atom) = -9.631

7.
Compound: VCrP2H2O10
Source: the Alexandria database
Functional: meta-GGA SCAN
Structure: single point on PBEsol structure

a = 5.123 Å, b = 5.163 Å, c = 7.127 Å
α = 108.12°, β = 104.55°, γ = 101.55°
Positions (direct):
V: 0.000 0.000 0.000
Cr: 0.000 0.000 0.500
P: 0.324 0.675 0.728
P: 0.676 0.325 0.272
H: 0.034 0.667 0.186
H: 0.966 0.333 0.814
O: 0.050 0.876 0.228
O: 0.110 0.684 0.853
O: 0.255 0.367 0.577
O: 0.308 0.879 0.613
O: 0.375 0.234 0.112
O: 0.625 0.766 0.888
O: 0.692 0.121 0.387
O: 0.745 0.633 0.423
O: 0.890 0.316 0.147
O: 0.950 0.124 0.772

## Properties
- SG = P-1, No. 2
- DFT total energy (eV/atom) = -10.057

8.
Compound: CrH6SO7
Source: the Alexandria database
Functional: meta-GGA SCAN
Structure: single point on PBEsol structure

a = 7.242 Å, b = 7.242 Å, c = 7.371 Å
α = 91.92°, β = 91.92°, γ = 135.11°
Positions (direct):
Cr: 0.136 0.864 0.500
Cr: 0.864 0.136 0.000
H: 0.030 0.820 0.142
H: 0.128 0.508 0.773
H: 0.299 0.615 0.970
H: 0.508 0.128 0.273
H: 0.546 0.706 0.207
H: 0.570 0.970 0.707
H: 0.587 0.635 0.011
H: 0.615 0.299 0.470
H: 0.635 0.587 0.511
H: 0.706 0.546 0.707
H: 0.820 0.030 0.642
H: 0.970 0.570 0.207
S: 0.149 0.385 0.422
S: 0.385 0.149 0.922
O: 0.004 0.336 0.247
O: 0.033 0.134 0.492
O: 0.116 0.493 0.908
O: 0.130 0.529 0.553
O: 0.134 0.033 0.992
O: 0.336 0.004 0.747
O: 0.428 0.548 0.386
O: 0.493 0.116 0.408
O: 0.529 0.130 0.053
O: 0.548 0.428 0.886
O: 0.589 0.762 0.078
O: 0.703 0.971 0.744
O: 0.762 0.589 0.578
O: 0.971 0.703 0.244

## Properties
- SG = Cc, No. 9
- DFT total energy (eV/atom) = -7.503

9.
Compound: CrHSe3O8
Source: the Alexandria database
Functional: meta-GGA SCAN
Structure: single point on PBEsol structure

a = 8.833 Å, b = 11.300 Å, c = 7.444 Å
α = 90.00°, β = 90.00°, γ = 90.00°
Positions (direct):
Cr: 0.000 0.000 0.000
Cr: 0.000 0.500 0.000
Cr: 0.500 0.000 0.500
Cr: 0.500 0.500 0.500
H: 0.122 0.250 0.460
H: 0.378 0.750 0.960
H: 0.622 0.250 0.040
H: 0.878 0.750 0.540
Se: 0.015 0.750 0.811
Se: 0.225 0.606 0.292
Se: 0.225 0.894 0.292
Se: 0.275 0.106 0.792
Se: 0.275 0.394 0.792
Se: 0.485 0.250 0.311
Se: 0.515 0.750 0.689
Se: 0.725 0.606 0.208
Se: 0.725 0.894 0.208
Se: 0.775 0.106 0.708
Se: 0.775 0.394 0.708
Se: 0.985 0.250 0.189
O: 0.014 0.250 0.426
O: 0.098 0.134 0.125
O: 0.098 0.366 0.125
O: 0.110 0.031 0.777
O: 0.110 0.469 0.777
O: 0.168 0.602 0.073
O: 0.168 0.898 0.073
O: 0.181 0.250 0.772
O: 0.319 0.750 0.272
O: 0.332 0.102 0.573
O: 0.332 0.398 0.573
O: 0.390 0.531 0.277
O: 0.390 0.969 0.277
O: 0.402 0.634 0.625
O: 0.402 0.866 0.625
O: 0.486 0.750 0.926
O: 0.514 0.250 0.074
O: 0.598 0.134 0.375
O: 0.598 0.366 0.375
O: 0.610 0.031 0.723
O: 0.610 0.469 0.723
O: 0.668 0.602 0.427
O: 0.668 0.898 0.427
O: 0.681 0.250 0.728
O: 0.819 0.750 0.228
O: 0.832 0.102 0.927
O: 0.832 0.398 0.927
O: 0.890 0.531 0.223
O: 0.890 0.969 0.223
O: 0.902 0.634 0.875
O: 0.902 0.866 0.875
O: 0.986 0.750 0.574

## Properties
- SG = Pnma, No. 62
- DFT total energy (eV/atom) = -11.345
- energy relative to the lowest polymorph listed for this composition (meV per atom) = 0

10.
Compound: CrHSe3O8
Source: the Alexandria database
Functional: meta-GGA SCAN
Structure: single point on PBEsol structure

a = 7.150 Å, b = 12.233 Å, c = 10.358 Å
α = 90.00°, β = 130.47°, γ = 90.00°
Positions (direct):
Cr: 0.228 0.168 0.363
Cr: 0.228 0.332 0.863
Cr: 0.772 0.668 0.137
Cr: 0.772 0.832 0.637
H: 0.270 0.151 0.628
H: 0.270 0.349 0.128
H: 0.730 0.651 0.872
H: 0.730 0.849 0.372
Se: 0.052 0.144 0.005
Se: 0.052 0.356 0.505
Se: 0.375 0.652 0.492
Se: 0.375 0.848 0.992
Se: 0.389 0.546 0.131
Se: 0.389 0.954 0.631
Se: 0.611 0.046 0.369
Se: 0.611 0.454 0.869
Se: 0.625 0.152 0.008
Se: 0.625 0.348 0.508
Se: 0.948 0.644 0.495
Se: 0.948 0.856 0.995
O: 0.098 0.198 0.879
O: 0.098 0.302 0.379
O: 0.100 0.608 0.310
O: 0.100 0.892 0.810
O: 0.215 0.233 0.181
O: 0.215 0.267 0.681
O: 0.251 0.096 0.546
O: 0.251 0.404 0.046
O: 0.256 0.698 0.600
O: 0.256 0.802 0.100
O: 0.340 0.033 0.333
O: 0.340 0.467 0.833
O: 0.431 0.718 0.962
O: 0.431 0.782 0.462
O: 0.498 0.539 0.329
O: 0.498 0.961 0.829
O: 0.502 0.039 0.171
O: 0.502 0.461 0.671
O: 0.569 0.218 0.538
O: 0.569 0.282 0.038
O: 0.660 0.533 0.167
O: 0.660 0.967 0.667
O: 0.744 0.198 0.900
O: 0.744 0.302 0.400
O: 0.749 0.596 0.954
O: 0.749 0.904 0.454
O: 0.785 0.733 0.319
O: 0.785 0.767 0.819
O: 0.900 0.108 0.190
O: 0.900 0.392 0.690
O: 0.902 0.698 0.621
O: 0.902 0.802 0.121

## Properties
- SG = P2_1/c, No. 14
- DFT total energy (eV/atom) = -11.297
- energy relative to the lowest polymorph listed for this composition (meV per atom) = 48

11.
Compound: SrCrHO2
Source: the Alexandria database
Functional: meta-GGA SCAN
Structure: single point on PBEsol structure

a = 3.901 Å, b = 3.901 Å, c = 3.568 Å
α = 90.00°, β = 90.00°, γ = 90.00°
Positions (direct):
Sr: 0.000 0.000 0.000
Cr: 0.500 0.500 0.500
H: 0.500 0.500 0.000
O: 0.000 0.500 0.500
O: 0.500 0.000 0.500

## Properties
- SG = P4/mmm, No. 123
- DFT total energy (eV/atom) = -13.498

12.
Compound: Cr3HOs
Source: the Alexandria database
Functional: meta-GGA SCAN
Structure: single point on PBEsol structure

a = 3.678 Å, b = 3.678 Å, c = 3.678 Å
α = 90.00°, β = 90.00°, γ = 90.00°
Positions (direct):
Cr: 0.000 0.000 0.500
Cr: 0.000 0.500 0.000
Cr: 0.500 0.000 0.000
H: 0.000 0.000 0.000
Os: 0.500 0.500 0.500

## Properties
- SG = Pm-3m, No. 221
- DFT total energy (eV/atom) = -25.995